A relaxed structure of NaNp2Sc3S6, computed with PBE.

Structure (POSCAR):
```
NaNp2Sc3S6
1.0
3.7770 0.0000 0.0000
0.0000 7.6839 0.2329
-1.8885 -2.2615 8.0247
Na Np Sc S
1 2 3 6
Direct
0.5000 0.0000 0.0000
0.8331 0.6670 0.6661
0.1669 0.3330 0.3339
0.5000 0.5000 0.0000
0.8342 0.1741 0.6683
0.1658 0.8259 0.3317
0.3297 0.9299 0.6593
0.6625 0.5893 0.3250
0.6703 0.0701 0.3407
0.9962 0.2619 0.9923
0.0038 0.7382 0.0077
0.3375 0.4107 0.6750
```

Computed properties:
M_tot: 0.73 μB per atom
Symmetry: No. 12
VASP energy: -0.5548 Ry per atom
ΔE_f (raw): -1635 meV/atom